# 1
Below is a relaxed CaLaCuRh crystal, with properties calculated at the PBE-GGA level.

Properties
As for the space group: P3m1.

```
CaLaCuRh
1.0
4.680 0.000 0.000
-2.340 4.053 0.000
0.000 0.000 5.237
Ca Rh Cu La
1 1 1 1
direct
0.667 0.333 0.197 Ca
0.333 0.667 0.449 Rh
0.333 0.667 0.955 Cu
0.000 0.000 0.663 La
```


# 2
Below is a relaxed CaLaCuRh crystal, with properties calculated at the PBE-GGA level.

Properties
As for the space group: P4mm.

```
CaLaCuRh
1.0
-0.725 3.234 -1.379
-3.463 -0.419 0.838
1.182 2.985 6.381
Ca Rh Cu La
1 1 1 1
direct
0.000 0.500 0.610 Ca
0.500 0.000 0.873 Rh
0.500 0.000 0.353 Cu
0.000 0.500 0.085 La
```


# 3
Below is a relaxed CaLaCuRh crystal, with properties calculated at the PBE-GGA level.

Properties
As for the space group: Amm2.

```
CaLaCuRh
1.0
4.196 0.000 0.000
0.000 4.020 0.000
0.000 0.000 11.307
Ca Rh Cu La
2 2 2 2
direct
0.000 0.000 0.310 Ca
0.000 0.500 0.810 Ca
0.000 0.000 0.591 Rh
0.000 0.500 0.091 Rh
0.500 0.000 0.739 Cu
0.500 0.500 0.239 Cu
0.500 0.000 0.032 La
0.500 0.500 0.532 La
```


# 4
Below is a relaxed CaLaCuRh crystal, with properties calculated at the PBE-GGA level.

Properties
As for the space group: Pmm2.

```
CaLaCuRh
1.0
-2.462 4.332 1.600
-2.541 -2.034 1.598
2.551 -0.032 4.014
Ca Rh Cu La
1 1 1 1
direct
0.500 0.000 0.815 Ca
0.000 0.500 0.819 Rh
0.500 0.500 0.314 Cu
0.000 0.000 0.316 La
```


# 5
Below is a relaxed CaLaCuRh crystal, with properties calculated at the PBE-GGA level.

Properties
As for the space group: Amm2.

```
CaLaCuRh
1.0
-3.524 1.147 -2.717
-1.865 -3.404 0.982
-4.640 4.871 8.074
Ca Rh Cu La
2 2 2 2
direct
0.500 0.000 0.609 Ca
0.500 0.500 0.109 Ca
0.000 0.000 0.027 Rh
0.000 0.500 0.527 Rh
0.500 0.000 0.900 Cu
0.500 0.500 0.400 Cu
0.000 0.000 0.332 La
0.000 0.500 0.832 La
```


# 6
Below is a relaxed CaLaCuRh crystal, with properties calculated at the PBE-GGA level.

Properties
As for the space group: Cm.

```
CaLaCuRh
1.0
-3.404 -1.347 -6.571
2.112 -3.716 -0.332
-4.136 -2.842 5.498
Ca Rh Cu La
2 2 2 2
direct
0.807 0.000 0.493 Ca
0.807 0.500 0.993 Ca
0.090 0.000 0.252 Rh
0.090 0.500 0.752 Rh
0.051 0.000 0.906 Cu
0.051 0.500 0.406 Cu
0.316 0.000 0.661 La
0.316 0.500 0.161 La
```


Formation energy from the elements (computed, eV per atom): -0.39 -0.35 -0.44 -0.36 -0.40 -0.33